No. 1
A plane-wave DFT calculation with SCAN was carried out for AlBiH2 at its PBEsol-relaxed geometry.

The crystal system is tetragonal. The value obtained for the total energy is -22.99 eV per atom.

The space group is I-42d (No. 122) and the conventional cell measures 5.411, 5.411 and 7.802 Å, with angles of 90.00, 90.00 and 90.00 degrees. The inequivalent atoms are Al at (0.000, 0.000, 0.000), Bi at (0.000, 0.000, 0.500) and H at (0.084, 0.250, 0.125).


No. 2
A plane-wave DFT calculation with SCAN was carried out for BaSr2P at its PBEsol-relaxed geometry.

The crystal system is trigonal. Its formation energy from the elements is -0.718 eV per atom. The value obtained for the total energy is -24.34 eV per atom.

The space group is R-3m (No. 166, hexagonal axes) and the conventional cell measures 4.4020, 4.4020 and 32.8319 Å, with angles of 90.00, 90.00 and 120.00 degrees. The inequivalent atoms are Ba at (0.0000, 0.0000, 0.0000), Sr at (0.0000, 0.0000, 0.2142) and P at (0.0000, 0.0000, 0.5000).


No. 3
A plane-wave DFT calculation with SCAN was carried out for AlH2S at its PBEsol-relaxed geometry.

The crystal system is cubic. The value obtained for the total energy is -5.40 eV per atom.

The space group is Fm-3m (No. 225) and the conventional cell measures 5.233, 5.233 and 5.233 Å, with angles of 90.00, 90.00 and 90.00 degrees. The inequivalent atoms are Al at (0.000, 0.000, 0.000), H at (0.250, 0.250, 0.250) and S at (0.000, 0.000, 0.500).


No. 4
A plane-wave DFT calculation with SCAN was carried out for Sb2Au2Cl at its PBEsol-relaxed geometry.

The crystal system is tetragonal. The value obtained for the total energy is -44.22 eV per atom.

The space group is I4/mmm (No. 139) and the conventional cell measures 5.065, 5.065 and 9.450 Å, with angles of 90.00, 90.00 and 90.00 degrees. The inequivalent atoms are Sb at (0.000, 0.500, 0.250), Au at (0.000, 0.000, 0.144) and Cl at (0.000, 0.000, 0.500).


No. 5
A plane-wave DFT calculation with SCAN was carried out for YHg3H at its PBEsol-relaxed geometry.

The crystal system is cubic. The value obtained for the total energy is -47.14 eV per atom.

The space group is Pm-3m (No. 221) and the conventional cell measures 4.568, 4.568 and 4.568 Å, with angles of 90.00, 90.00 and 90.00 degrees. The inequivalent atoms are Y at (0.000, 0.000, 0.000), Hg at (0.000, 0.500, 0.500) and H at (0.500, 0.500, 0.500).


No. 6
A plane-wave DFT calculation with SCAN was carried out for SnSbIrO2 at its PBEsol-relaxed geometry.

The crystal system is tetragonal. The value obtained for the total energy is -31.35 eV per atom.

The space group is P4/mmm (No. 123) and the conventional cell measures 3.874, 3.874 and 5.957 Å, with angles of 90.00, 90.00 and 90.00 degrees. The inequivalent atoms are Sn at (0.000, 0.000, 0.000), Sb at (0.500, 0.500, 0.000), Ir at (0.000, 0.000, 0.500) and O at (0.000, 0.500, 0.500).


Number 1: ρ 6.9 g/cm3. Number 2: ρ 3.1 g/cm3. Number 3: ρ 2.8 g/cm3. Number 4: ρ 9.2 g/cm3. Number 5: ρ 12.0 g/cm3. Number 6: ρ 8.6 g/cm3.